Entry 1:
# Y3CuF

Y3CuF after structural relaxation (PBE, Alexandria).

Values from the calculation:
ΔE_f (raw) (kcal/mol of atoms): -17.40
Final energy (eV/cell): -29.1

Lattice parameters (Å, degrees): 4.7813 4.7813 4.7813 90.00 90.00 90.00
Element x y z (fractional)
Y  0.0000  0.0000  0.5000
Y  0.0000  0.5000  0.0000
Y  0.5000  0.0000  0.0000
Cu  0.5000  0.5000  0.5000
F  0.0000  0.0000  0.0000


Entry 2:
# YCu2F6

YCu2F6 after structural relaxation (PBE, Alexandria).

Values from the calculation:
ΔE_f (raw) (kcal/mol of atoms): -58.42
Final energy (eV/cell): -48.7

Lattice parameters (Å, degrees): 5.8876 5.8876 7.2344 124.32 124.32 39.44
Element x y z (fractional)
Y  0.0000  0.0000  0.0000
Cu  0.1811  0.1811  0.6372
Cu  0.8189  0.8189  0.3628
F  0.0020  0.0020  0.3086
F  0.2579  0.2579  0.3252
F  0.3742  0.3742  0.9590
F  0.6258  0.6258  0.0410
F  0.7421  0.7421  0.6748
F  0.9980  0.9980  0.6914


Entry 3:
# Y2CuF

Y2CuF after structural relaxation (PBE, Alexandria).

Values from the calculation:
ΔE_f (raw) (kcal/mol of atoms): -19.67
Final energy (eV/cell): -89.2

Lattice parameters (Å, degrees): 6.8667 6.8667 6.8667 90.00 90.00 90.00
Element x y z (fractional)
Y  0.2500  0.2500  0.2500
Y  0.2500  0.2500  0.7500
Y  0.2500  0.7500  0.2500
Y  0.2500  0.7500  0.7500
Y  0.7500  0.2500  0.2500
Y  0.7500  0.2500  0.7500
Y  0.7500  0.7500  0.2500
Y  0.7500  0.7500  0.7500
Cu  0.0000  0.0000  0.0000
Cu  0.0000  0.5000  0.5000
Cu  0.5000  0.0000  0.5000
Cu  0.5000  0.5000  0.0000
F  0.0000  0.0000  0.5000
F  0.0000  0.5000  0.0000
F  0.5000  0.0000  0.0000
F  0.5000  0.5000  0.5000


Entry 4:
# YCuF2

YCuF2 after structural relaxation (PBE, Alexandria).

Values from the calculation:
ΔE_f (raw) (kcal/mol of atoms): -42.54
Final energy (eV/cell): -65.0

Lattice parameters (Å, degrees): 3.2098 3.2098 26.4907 90.00 90.00 120.00
Element x y z (fractional)
Y  0.0000  0.0000  0.0000
Y  0.3333  0.6667  0.6667
Y  0.6667  0.3333  0.3333
Cu  0.0000  0.0000  0.5000
Cu  0.3333  0.6667  0.1667
Cu  0.6667  0.3333  0.8333
F  0.0000  0.0000  0.3852
F  0.0000  0.0000  0.6148
F  0.3333  0.6667  0.0519
F  0.3333  0.6667  0.2814
F  0.6667  0.3333  0.7186
F  0.6667  0.3333  0.9481


Entry 5:
# Y2CuF

Y2CuF after structural relaxation (PBE, Alexandria).

Values from the calculation:
ΔE_f (raw) (kcal/mol of atoms): -27.61
Final energy (eV/cell): -71.1

Lattice parameters (Å, degrees): 3.9194 3.9194 18.1227 90.00 90.00 120.00
Element x y z (fractional)
Y  0.0000  0.0000  0.2438
Y  0.0000  0.0000  0.7562
Y  0.3333  0.6667  0.4228
Y  0.3333  0.6667  0.9105
Y  0.6667  0.3333  0.0895
Y  0.6667  0.3333  0.5772
Cu  0.0000  0.0000  0.0000
Cu  0.3333  0.6667  0.6667
Cu  0.6667  0.3333  0.3333
F  0.0000  0.0000  0.5000
F  0.3333  0.6667  0.1667
F  0.6667  0.3333  0.8333


Entry 6:
# YCuF4

YCuF4 after structural relaxation (PBE, Alexandria).

Values from the calculation:
ΔE_f (raw) (kcal/mol of atoms): -65.24
Final energy (eV/cell): -70.0

Lattice parameters (Å, degrees): 5.4822 5.4822 5.1928 90.00 90.00 90.00
Element x y z (fractional)
Y  0.0000  0.0000  0.0000
Y  0.5000  0.5000  0.5000
Cu  0.0000  0.5000  0.7500
Cu  0.5000  0.0000  0.2500
F  0.2087  0.7752  0.3104
F  0.2248  0.2087  0.6896
F  0.2752  0.2913  0.1896
F  0.2913  0.7248  0.8104
F  0.7087  0.2752  0.8104
F  0.7248  0.7087  0.1896
F  0.7752  0.7913  0.6896
F  0.7913  0.2248  0.3104